Run 1
A plane-wave DFT calculation with PBE was carried out for crystalline Nd3CdRh3 at its relaxed geometry.

abc: 9.149 9.149 4.653
angles: 90.00 90.00 120.00
Sites, in units of the cell vectors:
Nd (0.073, 0.395, 0.250)
Nd (0.322, 0.927, 0.250)
Nd (0.395, 0.322, 0.750)
Nd (0.605, 0.678, 0.250)
Nd (0.678, 0.073, 0.750)
Nd (0.927, 0.605, 0.750)
Cd (0.333, 0.667, 0.750)
Cd (0.667, 0.333, 0.250)
Rh (0.032, 0.190, 0.750)
Rh (0.159, 0.968, 0.750)
Rh (0.190, 0.159, 0.250)
Rh (0.810, 0.841, 0.750)
Rh (0.841, 0.032, 0.250)
Rh (0.968, 0.810, 0.250)

crystal system: hexagonal
total magnetization: 0.0000 μB per atom
theoretical density: 8.4 g/cm³

---

Run 2
A plane-wave DFT calculation with PBE was carried out for crystalline Nd3CdRh3 at its relaxed geometry.

abc: 5.691 5.691 13.897
angles: 90.00 90.00 134.24
Sites, in units of the cell vectors:
Nd (0.025, 0.975, 0.750)
Nd (0.305, 0.695, 0.605)
Nd (0.305, 0.695, 0.895)
Nd (0.695, 0.305, 0.105)
Nd (0.695, 0.305, 0.395)
Nd (0.975, 0.025, 0.250)
Cd (0.000, 0.000, 0.000)
Cd (0.000, 0.000, 0.500)
Rh (0.246, 0.754, 0.250)
Rh (0.402, 0.598, 0.095)
Rh (0.402, 0.598, 0.405)
Rh (0.598, 0.402, 0.595)
Rh (0.598, 0.402, 0.905)
Rh (0.754, 0.246, 0.750)

crystal system: orthorhombic
total magnetization: 0.0000 μB per atom
theoretical density: 8.8 g/cm³

---

Most favorable structure: run 2. The second most favorable one is 18.8 kJ/mol of atoms above it.

---

Run 1
A plane-wave DFT calculation with PBE was carried out for crystalline Nd12CdRh6 at its relaxed geometry.

abc: 8.850 8.850 8.850
angles: 109.47 109.47 109.47
Sites, in units of the cell vectors:
Nd (0.119, 0.814, 0.305)
Nd (0.186, 0.305, 0.491)
Nd (0.186, 0.695, 0.881)
Nd (0.305, 0.119, 0.814)
Nd (0.305, 0.491, 0.186)
Nd (0.491, 0.186, 0.305)
Nd (0.509, 0.814, 0.695)
Nd (0.695, 0.509, 0.814)
Nd (0.695, 0.881, 0.186)
Nd (0.814, 0.305, 0.119)
Nd (0.814, 0.695, 0.509)
Nd (0.881, 0.186, 0.695)
Cd (0.000, 0.000, 0.000)
Rh (0.131, 0.631, 0.500)
Rh (0.369, 0.500, 0.869)
Rh (0.500, 0.131, 0.631)
Rh (0.500, 0.869, 0.369)
Rh (0.631, 0.500, 0.131)
Rh (0.869, 0.369, 0.500)

crystal system: cubic
total magnetization: 0.0000 μB per atom
theoretical density: 7.7 g/cm³

---

Run 2
A plane-wave DFT calculation with PBE was carried out for crystalline Nd12CdRh6 at its relaxed geometry.

abc: 8.876 8.876 8.876
angles: 108.76 108.76 108.76
Sites, in units of the cell vectors:
Nd (0.044, 0.103, 0.348)
Nd (0.103, 0.348, 0.044)
Nd (0.169, 0.644, 0.465)
Nd (0.348, 0.044, 0.103)
Nd (0.356, 0.535, 0.831)
Nd (0.465, 0.169, 0.644)
Nd (0.535, 0.831, 0.356)
Nd (0.644, 0.465, 0.169)
Nd (0.652, 0.956, 0.897)
Nd (0.831, 0.356, 0.535)
Nd (0.897, 0.652, 0.956)
Nd (0.956, 0.897, 0.652)
Cd (0.500, 0.500, 0.500)
Rh (0.133, 0.708, 0.782)
Rh (0.218, 0.867, 0.292)
Rh (0.292, 0.218, 0.867)
Rh (0.708, 0.782, 0.133)
Rh (0.782, 0.133, 0.708)
Rh (0.867, 0.292, 0.218)

crystal system: trigonal
total magnetization: 0.0000 μB per atom
theoretical density: 7.4 g/cm³

---

Most favorable structure: run 1. The second most favorable one is 4.6 kJ/mol of atoms above it.

---

Run 1
A plane-wave DFT calculation with PBE was carried out for crystalline Nd4ScCd at its relaxed geometry.

abc: 3.661 3.661 13.945
angles: 90.00 90.00 90.00
Sites, in units of the cell vectors:
Nd (0.000, 0.000, 0.152)
Nd (0.000, 0.000, 0.848)
Nd (0.500, 0.500, 0.336)
Nd (0.500, 0.500, 0.664)
Sc (0.000, 0.000, 0.500)
Cd (0.500, 0.500, 0.000)

crystal system: tetragonal
total magnetization: 0.0000 μB per atom
theoretical density: 6.5 g/cm³

---

Run 2
A plane-wave DFT calculation with PBE was carried out for crystalline Nd4ScCd at its relaxed geometry.

abc: 8.390 8.390 8.390
angles: 113.88 113.88 100.97
Sites, in units of the cell vectors:
Nd (0.173, 0.000, 0.173)
Nd (0.246, 0.556, 0.310)
Nd (0.246, 0.936, 0.690)
Nd (0.306, 0.496, 0.810)
Nd (0.686, 0.496, 0.190)
Nd (0.750, 0.077, 0.327)
Nd (0.750, 0.423, 0.673)
Nd (0.827, 0.000, 0.827)
Sc (0.012, 0.512, 0.500)
Sc (0.262, 0.262, 0.000)
Cd (0.494, 0.994, 0.500)
Cd (0.744, 0.744, 0.000)

crystal system: tetragonal
total magnetization: 0.0000 μB per atom
theoretical density: 5.5 g/cm³

---

Most favorable structure: run 1. The second most favorable one is 54.4 kJ/mol of atoms above it.

---

Run 1
A plane-wave DFT calculation with PBE was carried out for crystalline Nd6ScCd at its relaxed geometry.

abc: 6.507 6.514 9.065
angles: 110.89 90.07 119.92
Sites, in units of the cell vectors:
Nd (0.048, 0.482, 0.290)
Nd (0.189, 0.143, 0.709)
Nd (0.437, 0.245, 0.290)
Nd (0.563, 0.755, 0.710)
Nd (0.811, 0.857, 0.291)
Nd (0.952, 0.518, 0.710)
Sc (0.500, 0.000, 0.500)
Cd (0.000, 0.000, 0.000)

crystal system: triclinic
total magnetization: 0.0000 μB per atom
theoretical density: 5.6 g/cm³

---

Run 2
A plane-wave DFT calculation with PBE was carried out for crystalline Nd6ScCd at its relaxed geometry.

abc: 5.001 5.001 10.147
angles: 90.00 90.00 90.00
Sites, in units of the cell vectors:
Nd (0.000, 0.000, 0.000)
Nd (0.000, 0.000, 0.500)
Nd (0.000, 0.500, 0.250)
Nd (0.000, 0.500, 0.750)
Nd (0.500, 0.000, 0.250)
Nd (0.500, 0.000, 0.750)
Sc (0.500, 0.500, 0.000)
Cd (0.500, 0.500, 0.500)

crystal system: tetragonal
total magnetization: 0.0000 μB per atom
theoretical density: 6.7 g/cm³

---

Most favorable structure: run 2. The second most favorable one is 40.0 kJ/mol of atoms above it.

---

Run 1
A plane-wave DFT calculation with PBE was carried out for crystalline NdSc2Cd2 at its relaxed geometry.

abc: 12.295 12.295 12.295
angles: 157.56 157.56 31.95
Sites, in units of the cell vectors:
Nd (0.127, 0.127, 0.000)
Nd (0.873, 0.873, 0.000)
Sc (0.250, 0.750, 0.500)
Sc (0.429, 0.429, 0.000)
Sc (0.571, 0.571, 0.000)
Sc (0.750, 0.250, 0.500)
Cd (0.000, 0.500, 0.500)
Cd (0.315, 0.315, 0.000)
Cd (0.500, 0.000, 0.500)
Cd (0.685, 0.685, 0.000)

crystal system: tetragonal
total magnetization: 0.0000 μB per atom
theoretical density: 5.6 g/cm³

---

Run 2
A plane-wave DFT calculation with PBE was carried out for crystalline NdSc2Cd2 at its relaxed geometry.

abc: 11.604 11.604 3.295
angles: 90.00 90.00 163.31
Sites, in units of the cell vectors:
Nd (0.000, 0.000, 0.000)
Sc (0.190, 0.810, 0.000)
Sc (0.810, 0.190, 0.000)
Cd (0.395, 0.605, 0.500)
Cd (0.605, 0.395, 0.500)

crystal system: orthorhombic
total magnetization: 0.1171 μB per atom
theoretical density: 6.0 g/cm³

---

Most favorable structure: run 2. The second most favorable one is 2.5 kJ/mol of atoms above it.

---

Run 1
A plane-wave DFT calculation with PBE was carried out for crystalline NdYScCd at its relaxed geometry.

abc: 5.412 5.412 5.412
angles: 60.00 60.00 60.00
Sites, in units of the cell vectors:
Nd (0.000, 0.000, 0.000)
Y (0.500, 0.500, 0.500)
Sc (0.250, 0.250, 0.250)
Cd (0.750, 0.750, 0.750)

crystal system: cubic
total magnetization: 0.0440 μB per atom
theoretical density: 5.8 g/cm³

---

Run 2
A plane-wave DFT calculation with PBE was carried out for crystalline NdYScCd at its relaxed geometry.

abc: 3.563 3.563 8.815
angles: 90.00 90.00 90.00
Sites, in units of the cell vectors:
Nd (0.000, 0.000, 0.000)
Y (0.500, 0.500, 0.703)
Sc (0.500, 0.500, 0.268)
Cd (0.000, 0.000, 0.464)

crystal system: tetragonal
total magnetization: 0.0000 μB per atom
theoretical density: 5.8 g/cm³

---

Most favorable structure: run 2. The second most favorable one is 7.4 kJ/mol of atoms above it.

---

Run 1
A plane-wave DFT calculation with PBE was carried out for crystalline Nd3Sm4Cd at its relaxed geometry.

abc: 11.505 7.183 6.312
angles: 90.00 90.00 90.00
Sites, in units of the cell vectors:
Nd (0.000, 0.127, 0.000)
Nd (0.235, 0.120, 0.645)
Nd (0.265, 0.880, 0.145)
Nd (0.500, 0.873, 0.500)
Nd (0.735, 0.880, 0.145)
Nd (0.765, 0.120, 0.645)
Sm (0.000, 0.389, 0.457)
Sm (0.000, 0.633, 0.990)
Sm (0.237, 0.630, 0.641)
Sm (0.263, 0.370, 0.141)
Sm (0.500, 0.367, 0.490)
Sm (0.500, 0.611, 0.957)
Sm (0.737, 0.370, 0.141)
Sm (0.763, 0.630, 0.641)
Cd (0.000, 0.875, 0.472)
Cd (0.500, 0.125, 0.972)

crystal system: orthorhombic
total magnetization: 0.0000 μB per atom
theoretical density: 7.3 g/cm³

---

Run 2
A plane-wave DFT calculation with PBE was carried out for crystalline Nd3Sm4Cd at its relaxed geometry.

abc: 3.671 3.671 19.534
angles: 90.00 90.00 90.00
Sites, in units of the cell vectors:
Nd (0.000, 0.000, 0.000)
Nd (0.000, 0.000, 0.264)
Nd (0.000, 0.000, 0.736)
Sm (0.500, 0.500, 0.132)
Sm (0.500, 0.500, 0.395)
Sm (0.500, 0.500, 0.605)
Sm (0.500, 0.500, 0.868)
Cd (0.000, 0.000, 0.500)

crystal system: tetragonal
total magnetization: 0.0000 μB per atom
theoretical density: 7.2 g/cm³

---

Most favorable structure: run 2. The second most favorable one is 2.6 kJ/mol of atoms above it.

---

Run 1
A plane-wave DFT calculation with PBE was carried out for crystalline Nd3Sm3Cd at its relaxed geometry.

abc: 8.863 8.863 8.863
angles: 58.52 58.52 58.52
Sites, in units of the cell vectors:
Nd (0.102, 0.280, 0.786)
Nd (0.214, 0.898, 0.720)
Nd (0.280, 0.786, 0.102)
Nd (0.720, 0.214, 0.898)
Nd (0.786, 0.102, 0.280)
Nd (0.898, 0.720, 0.214)
Sm (0.044, 0.742, 0.569)
Sm (0.258, 0.431, 0.956)
Sm (0.431, 0.956, 0.258)
Sm (0.569, 0.044, 0.742)
Sm (0.742, 0.569, 0.044)
Sm (0.956, 0.258, 0.431)
Cd (0.335, 0.335, 0.335)
Cd (0.665, 0.665, 0.665)

crystal system: trigonal
total magnetization: 0.0000 μB per atom
theoretical density: 7.0 g/cm³

---

Run 2
A plane-wave DFT calculation with PBE was carried out for crystalline Nd3Sm3Cd at its relaxed geometry.

abc: 9.600 5.688 9.602
angles: 90.00 119.96 90.00
Sites, in units of the cell vectors:
Nd (0.023, 0.250, 0.131)
Nd (0.130, 0.750, 0.608)
Nd (0.392, 0.750, 0.023)
Nd (0.608, 0.250, 0.977)
Nd (0.870, 0.250, 0.392)
Nd (0.977, 0.750, 0.869)
Sm (0.257, 0.750, 0.319)
Sm (0.319, 0.250, 0.562)
Sm (0.439, 0.250, 0.258)
Sm (0.561, 0.750, 0.742)
Sm (0.681, 0.750, 0.438)
Sm (0.743, 0.250, 0.681)
Cd (0.167, 0.250, 0.834)
Cd (0.833, 0.750, 0.166)

crystal system: monoclinic
total magnetization: 0.0000 μB per atom
theoretical density: 7.3 g/cm³

---

Most favorable structure: run 2. The second most favorable one is 16.8 kJ/mol of atoms above it.

---

Run 1
A plane-wave DFT calculation with PBE was carried out for crystalline Nd6SmCd2 at its relaxed geometry.

abc: 6.776 6.776 12.289
angles: 107.87 107.87 32.99
Sites, in units of the cell vectors:
Nd (0.019, 0.019, 0.338)
Nd (0.311, 0.311, 0.412)
Nd (0.316, 0.316, 0.124)
Nd (0.684, 0.684, 0.876)
Nd (0.689, 0.689, 0.588)
Nd (0.981, 0.981, 0.662)
Sm (0.000, 0.000, 0.000)
Cd (0.356, 0.356, 0.797)
Cd (0.644, 0.644, 0.203)

crystal system: monoclinic
total magnetization: 0.0000 μB per atom
theoretical density: 7.1 g/cm³

---

Run 2
A plane-wave DFT calculation with PBE was carried out for crystalline Nd6SmCd2 at its relaxed geometry.

abc: 9.844 9.844 6.250
angles: 94.88 94.88 73.17
Sites, in units of the cell vectors:
Nd (0.067, 0.819, 0.991)
Nd (0.148, 0.401, 0.164)
Nd (0.181, 0.933, 0.509)
Nd (0.232, 0.532, 0.688)
Nd (0.401, 0.148, 0.664)
Nd (0.468, 0.768, 0.812)
Nd (0.532, 0.232, 0.188)
Nd (0.599, 0.852, 0.336)
Nd (0.768, 0.468, 0.312)
Nd (0.819, 0.067, 0.491)
Nd (0.852, 0.599, 0.836)
Nd (0.933, 0.181, 0.009)
Sm (0.396, 0.604, 0.250)
Sm (0.604, 0.396, 0.750)
Cd (0.040, 0.288, 0.593)
Cd (0.288, 0.040, 0.093)
Cd (0.712, 0.960, 0.907)
Cd (0.960, 0.712, 0.407)

crystal system: monoclinic
total magnetization: 0.0000 μB per atom
theoretical density: 7.1 g/cm³

---

Most favorable structure: run 1. The second most favorable one is 6.2 kJ/mol of atoms above it.

---

Run 1
A plane-wave DFT calculation with PBE was carried out for crystalline Nd2Sm3Cd at its relaxed geometry.

abc: 3.669 3.669 14.372
angles: 90.00 90.00 90.00
Sites, in units of the cell vectors:
Nd (0.000, 0.000, 0.179)
Nd (0.000, 0.000, 0.821)
Sm (0.500, 0.500, 0.000)
Sm (0.500, 0.500, 0.356)
Sm (0.500, 0.500, 0.644)
Cd (0.000, 0.000, 0.500)

crystal system: tetragonal
total magnetization: 0.0000 μB per atom
theoretical density: 7.3 g/cm³

---

Run 2
A plane-wave DFT calculation with PBE was carried out for crystalline Nd2Sm3Cd at its relaxed geometry.

abc: 6.761 6.761 6.761
angles: 128.43 123.08 80.37
Sites, in units of the cell vectors:
Nd (0.178, 0.178, 0.000)
Nd (0.822, 0.822, 0.000)
Sm (0.000, 0.500, 0.500)
Sm (0.343, 0.843, 0.500)
Sm (0.657, 0.157, 0.500)
Cd (0.500, 0.500, 0.000)

crystal system: orthorhombic
total magnetization: 0.0000 μB per atom
theoretical density: 7.2 g/cm³

---

Most favorable structure: run 1. The second most favorable one is 31.3 kJ/mol of atoms above it.

---

Run 1
A plane-wave DFT calculation with PBE was carried out for crystalline Nd4SmCd at its relaxed geometry.

abc: 8.531 8.531 6.467
angles: 100.03 100.03 116.36
Sites, in units of the cell vectors:
Nd (0.093, 0.712, 0.954)
Nd (0.166, 0.404, 0.624)
Nd (0.288, 0.907, 0.546)
Nd (0.404, 0.166, 0.124)
Nd (0.596, 0.834, 0.876)
Nd (0.712, 0.093, 0.454)
Nd (0.834, 0.596, 0.376)
Nd (0.907, 0.288, 0.046)
Sm (0.413, 0.587, 0.250)
Sm (0.587, 0.413, 0.750)
Cd (0.001, 0.999, 0.250)
Cd (0.999, 0.001, 0.750)

crystal system: monoclinic
total magnetization: 0.0000 μB per atom
theoretical density: 7.0 g/cm³

---

Run 2
A plane-wave DFT calculation with PBE was carried out for crystalline Nd4SmCd at its relaxed geometry.

abc: 3.693 3.693 14.443
angles: 90.00 90.00 90.00
Sites, in units of the cell vectors:
Nd (0.000, 0.000, 0.145)
Nd (0.000, 0.000, 0.855)
Nd (0.500, 0.500, 0.323)
Nd (0.500, 0.500, 0.677)
Sm (0.000, 0.000, 0.500)
Cd (0.500, 0.500, 0.000)

crystal system: tetragonal
total magnetization: 0.0001 μB per atom
theoretical density: 7.1 g/cm³

---

Most favorable structure: run 2. The second most favorable one is 8.9 kJ/mol of atoms above it.